Computed, not measured: a geometry-optimized CaCuGeAu3 structure at the PBE level of DFT.

Values from the calculation:
E_tot ... -3.669 eV per atom
Space-group type ... Cmcm (63)

Cell lengths 6.952, 6.952, 5.992 Å; angles 90.00, 90.00, 120.54 degrees
Sites, in units of the cell vectors:
1 Ca 0.206 0.794 0.750
2 Ca 0.794 0.206 0.250
3 Cu 0.441 0.559 0.750
4 Cu 0.559 0.441 0.250
5 Ge 0.132 0.868 0.250
6 Ge 0.868 0.132 0.750
7 Au 0.216 0.216 0.000
8 Au 0.216 0.216 0.500
9 Au 0.339 0.661 0.250
10 Au 0.661 0.339 0.750
11 Au 0.784 0.784 0.000
12 Au 0.784 0.784 0.500